Record 1
Density functional theory data (GGA+U) for a relaxed structure of AcNi2F6.

a = 5.4511 Å, b = 5.4511 Å, c = 5.3428 Å
α = 90.00°, β = 90.00°, γ = 120.00°
Space group P-31m (No. 162)
Asymmetric unit:
Ac 0.0000 0.0000 0.0000 [1 per cell]
Ni 0.3333 0.6667 0.5000 [2 per cell]
F 0.0000 0.3581 0.7211 [6 per cell]


Record 2
Density functional theory data (GGA+U) for a relaxed structure of AcNiF6.

a = 6.186 Å, b = 7.151 Å, c = 4.840 Å
α = 90.00°, β = 102.57°, γ = 90.00°
Space group C2/m (No. 12)
Asymmetric unit:
Ac 0.000 0.000 0.000 [2 per cell]
Ni 0.000 0.500 0.500 [2 per cell]
F 0.112 0.320 0.790 [8 per cell]
F 0.211 0.000 0.567 [4 per cell]


Record 3
Density functional theory data (GGA+U) for a relaxed structure of AcNiF5.

a = 9.105 Å, b = 6.414 Å, c = 8.336 Å
α = 90.00°, β = 112.79°, γ = 90.00°
Space group C2/c (No. 15)
Asymmetric unit:
Ac 0.000 0.045 0.250 [4 per cell]
Ni 0.000 0.500 0.000 [4 per cell]
F 0.000 0.434 0.250 [4 per cell]
F 0.064 0.197 0.001 [8 per cell]
F 0.219 0.404 0.620 [8 per cell]


Record 4
Density functional theory data (GGA+U) for a relaxed structure of Ac2NiF.

a = 3.6594 Å, b = 3.6594 Å, c = 27.5532 Å
α = 90.00°, β = 90.00°, γ = 120.00°
Space group R-3m (No. 166, hexagonal axes)
Asymmetric unit:
Ac 0.0000 0.0000 0.0934 [6 per cell]
Ni 0.0000 0.0000 0.0000 [3 per cell]
F 0.0000 0.0000 0.5000 [3 per cell]


Record 5
Density functional theory data (GGA+U) for a relaxed structure of Rb2AcNi3F12.

a = 7.5721 Å, b = 7.5721 Å, c = 16.8501 Å
α = 90.00°, β = 90.00°, γ = 120.00°
Space group R-3m (No. 166, hexagonal axes)
Asymmetric unit:
Rb 0.0000 0.0000 0.1075 [6 per cell]
Ac 0.0000 0.0000 0.5000 [3 per cell]
Ni 0.0000 0.5000 0.0000 [9 per cell]
F 0.0308 0.5154 0.8853 [18 per cell]
F 0.0855 0.5428 0.3103 [18 per cell]


Record 6
Density functional theory data (GGA+U) for a relaxed structure of RbAcNiF6.

a = 6.1301 Å, b = 6.1301 Å, c = 10.8939 Å
α = 90.00°, β = 90.00°, γ = 120.00°
Space group P-31c (No. 163)
Asymmetric unit:
Rb 0.0000 0.0000 0.0000 [2 per cell]
Ac 0.3333 0.6667 0.2500 [2 per cell]
Ni 0.3333 0.6667 0.7500 [2 per cell]
F 0.0456 0.3976 0.6463 [12 per cell]


Record 7
Density functional theory data (GGA+U) for a relaxed structure of RbAc2NiF8.

a = 4.315 Å, b = 6.287 Å, c = 8.360 Å
α = 81.15°, β = 87.53°, γ = 84.31°
Space group P-1 (No. 2)
Asymmetric unit:
Rb 0.000 0.000 0.000 [1 per cell]
Ac 0.487 0.454 0.260 [2 per cell]
Ni 0.000 0.000 0.500 [1 per cell]
F 0.035 0.200 0.288 [2 per cell]
F 0.038 0.361 0.765 [2 per cell]
F 0.388 0.728 0.460 [2 per cell]
F 0.496 0.287 0.009 [2 per cell]


Record 8
Density functional theory data (GGA+U) for a relaxed structure of AcTl2Ni3F12.

a = 7.5542 Å, b = 7.5542 Å, c = 15.9822 Å
α = 90.00°, β = 90.00°, γ = 120.00°
Space group R-3m (No. 166, hexagonal axes)
Asymmetric unit:
Ac 0.0000 0.0000 0.0000 [3 per cell]
Tl 0.0000 0.0000 0.3911 [6 per cell]
Ni 0.0000 0.5000 0.5000 [9 per cell]
F 0.0565 0.5283 0.3765 [18 per cell]
F 0.0877 0.5438 0.8017 [18 per cell]


Record 9
Density functional theory data (GGA+U) for a relaxed structure of AcTlNiF6.

a = 6.1671 Å, b = 6.1671 Å, c = 10.5444 Å
α = 90.00°, β = 90.00°, γ = 120.00°
Space group P-31c (No. 163)
Asymmetric unit:
Ac 0.3333 0.6667 0.2500 [2 per cell]
Tl 0.0000 0.0000 0.0000 [2 per cell]
Ni 0.3333 0.6667 0.7500 [2 per cell]
F 0.0460 0.3991 0.6439 [12 per cell]


Number 1: energy -44.40 eV for the cell shown. Number 2: energy -82.81 eV for the cell shown. Number 3: energy -155.44 eV for the cell shown. Number 4: energy -42.20 eV for the cell shown. Number 5: energy -252.84 eV for the cell shown. Number 6: energy -94.30 eV for the cell shown. Number 7: energy -67.45 eV for the cell shown. Number 8: energy -250.82 eV for the cell shown. Number 9: energy -92.86 eV for the cell shown.